Compound: Nb2AlRe
Source: OQMD via LeMat-Bulk
Functional: PBE
Structure: relaxed

The theoretical density is 10.10 g cm⁻³. As for the space group: F-43m. Its total energy is -36.71 eV per cell.

Unit cell a=4.5274 b=4.5274 c=4.5274 alpha=60.00 beta=60.00 gamma=60.00
With the nearest neighbours (Å) after each atom.
Atoms (fractional coordinates):
1 Nb 0.0000 0.0000 0.0000  4 Re 2.77, 4 Nb 2.77
2 Nb 0.2500 0.2500 0.2500  4 Nb 2.77, 4 Al 2.77
3 Al 0.5000 0.5000 0.5000  4 Re 2.77, 4 Nb 2.77
4 Re 0.7500 0.7500 0.7500  4 Al 2.77, 4 Nb 2.77